DFT (PBE) results for a relaxed structure of Ba3LiIr.

Cell lengths 6.568, 15.327, 15.327 Å; angles 120.00, 90.00, 90.00 degrees
Fractional positions:
Ba (0.662, 0.835, 0.333)
Ba (0.662, 0.498, 0.165)
Ba (0.662, 0.667, 0.502)
Ba (0.162, 0.333, 0.498)
Ba (0.162, 0.165, 0.667)
Ba (0.162, 0.502, 0.835)
Ba (0.162, 0.667, 0.165)
Ba (0.662, 0.165, 0.498)
Ba (0.662, 0.502, 0.667)
Ba (0.162, 0.498, 0.333)
Ba (0.162, 0.835, 0.502)
Ba (0.662, 0.333, 0.835)
Ba (0.661, 0.169, 0.000)
Ba (0.161, 0.000, 0.831)
Ba (0.161, 0.169, 0.169)
Ba (0.661, 0.831, 0.831)
Ba (0.661, 0.000, 0.169)
Ba (0.161, 0.831, 0.000)
Li (0.662, 0.000, 0.667)
Li (0.162, 0.667, 0.667)
Li (0.162, 0.333, 0.000)
Li (0.662, 0.667, 0.000)
Li (0.662, 0.333, 0.333)
Li (0.162, 0.000, 0.333)
Ir (0.911, 0.000, 0.000)
Ir (0.411, 0.000, 0.000)
Ir (0.912, 0.667, 0.333)
Ir (0.412, 0.333, 0.667)
Ir (0.412, 0.667, 0.333)
Ir (0.912, 0.333, 0.667)

DFT formation energy   -0.32 eV/f.u.
Magnetization   0.000 μB/atom

DFT (PBE) results for a relaxed structure of Tb2AlPd3.

Cell lengths 4.288, 5.436, 6.481 Å; angles 114.79, 109.32, 90.00 degrees
Fractional positions:
Tb (0.686, 0.186, 0.371)
Tb (0.314, 0.814, 0.629)
Al (0.000, 0.500, 0.000)
Pd (0.374, 0.374, 0.748)
Pd (0.000, 0.000, 0.000)
Pd (0.626, 0.626, 0.252)

DFT formation energy   -4.27 eV/f.u.
Magnetization   0.000 μB/atom

DFT (PBE) results for a relaxed structure of Sm2HgRhC.

Cell lengths 3.922, 5.208, 5.208 Å; angles 90.00, 90.00, 90.00 degrees
Fractional positions:
Sm (0.000, 0.000, 0.500)
Sm (0.000, 0.500, 0.000)
Hg (0.500, 0.500, 0.500)
Rh (0.500, 0.000, 0.000)
C (0.000, 0.000, 0.000)

DFT formation energy   -2.24 eV/f.u.
Magnetization   0.000 μB/atom

- Which value of DFT formation energy does entry 1 give?
  -0.32 eV/f.u.

- Which value of DFT formation energy does entry 3 give?
  -2.24 eV/f.u.

Copy entry 2 word for word.
DFT (PBE) results for a relaxed structure of Tb2AlPd3.

Cell lengths 4.288, 5.436, 6.481 Å; angles 114.79, 109.32, 90.00 degrees
Fractional positions:
Tb (0.686, 0.186, 0.371)
Tb (0.314, 0.814, 0.629)
Al (0.000, 0.500, 0.000)
Pd (0.374, 0.374, 0.748)
Pd (0.000, 0.000, 0.000)
Pd (0.626, 0.626, 0.252)

DFT formation energy   -4.27 eV/f.u.
Magnetization   0.000 μB/atom

- Which value of magnetization does entry 3 give?
  0.000 μB/atom